[1]
PBE CoRe2Sb, relaxed; uncorrected energy = -34.23 eV per formula unit; formation energy from raw total energies = 473 meV/atom; spin magnetization = 0.0 Bohr magnetons per cell
1.0
-4.063 -1.134 -2.809
-0.280 -4.831 -1.506
0.248 2.988 4.086
Co Re Sb
1 2 1
Direct
0.735 0.235 0.500
0.993 0.993 0.000
0.258 0.758 0.500
0.514 0.514 0.000

[2]
PBE CoRe3Sb, relaxed; uncorrected energy = -40.63 eV per formula unit; formation energy from raw total energies = 1588 meV/atom; spin magnetization = 1.1 Bohr magnetons per cell
1.0
-1.739 3.639 -1.950
-1.048 -2.435 -3.611
-3.993 -0.945 1.797
Sb Re Co
1 3 1
Direct
0.500 0.500 0.500
0.500 0.000 0.000
0.000 0.000 0.500
0.000 0.500 0.000
0.000 0.000 0.000

[3]
PBE CoRe2Sb, relaxed; uncorrected energy = -33.82 eV per formula unit; formation energy from raw total energies = 577 meV/atom; spin magnetization = 1.3 Bohr magnetons per cell
1.0
3.133 0.000 0.000
0.000 4.325 0.000
0.000 0.000 4.578
Sb Co Re
1 1 2
Direct
0.500 0.000 0.500
0.000 0.500 0.500
0.000 0.000 0.000
0.500 0.500 0.000

[4]
PBE Co2ReSb, relaxed; uncorrected energy = -27.71 eV per formula unit; formation energy from raw total energies = 767 meV/atom; spin magnetization = 0.0 Bohr magnetons per cell
1.0
-3.491 -1.927 -0.189
1.543 -3.004 2.128
-3.342 1.152 7.794
Co Sb Re
4 2 2
Direct
0.875 0.908 0.750
0.658 0.125 0.250
0.092 0.625 0.250
0.375 0.342 0.750
0.250 0.750 0.500
0.500 0.500 0.000
0.750 0.250 0.500
0.000 0.000 0.000

[5]
PBE Co2ReSb, relaxed; uncorrected energy = -29.21 eV per formula unit; formation energy from raw total energies = 393 meV/atom; spin magnetization = 0.3 Bohr magnetons per cell
1.0
-0.527 -1.344 2.452
1.873 -2.803 -1.134
4.666 2.221 2.219
Co Re Sb
2 1 1
Direct
0.500 0.500 0.253
0.000 0.000 0.013
0.000 0.000 0.452
0.500 0.500 0.782

[6]
PBE Co2ReSb, relaxed; uncorrected energy = -29.60 eV per formula unit; formation energy from raw total energies = 296 meV/atom; spin magnetization = 0.0 Bohr magnetons per cell
1.0
3.617 0.000 0.000
0.000 2.891 0.022
0.000 2.847 5.439
Co Re Sb
2 1 1
Direct
0.000 0.525 0.476
0.000 0.975 0.024
0.500 0.250 0.250
0.500 0.750 0.750

Question: Which of these has the highest formation energy from raw total energies?
Answer: CoRe3Sb

Question: What is the formula in the third record?
Answer: CoRe2Sb